VASP calculation (PBE with a Hubbard U) on a relaxed structure of NbTl2V3F12.

Unit cell a=7.6167 b=7.6167 c=18.9527 alpha=90.00 beta=90.00 gamma=120.00
Last column: nearest neighbours and their distance in Å.
Space group R-3m (No. 166, hexagonal axes)
Symmetry-distinct sites (fractional):
Nb  0.0000  0.0000  0.0000 x3  6 F 2.03
Tl  0.0000  0.0000  0.4081 x6  3 F 2.89
V  0.0000  0.5000  0.5000 x9  6 F 2.08-2.12
F  0.0576  0.5288  0.8561 x18  2 V 2.08
F  0.0744  0.5372  0.6086 x18  1 Nb 2.03, 1 V 2.12

- Total energy: -5.857 eV per atom
- Volume: 952 Å³/cell